Below is a relaxed structure of Mn2Sn2Cl7, with properties calculated at the PBE-GGA level.

Calculated values
- Symmetry: No. 15
- Formation energy from raw total energies: -10.1 eV per formula unit
- M_tot: 9.79 μB/f.u.

Unit cell a=6.491 b=6.491 c=16.991 alpha=105.53 beta=105.53 gamma=59.85
Sites, in units of the cell vectors:
Mn (0.167, 0.689, 0.503)
Mn (0.311, 0.833, 0.997)
Mn (0.689, 0.167, 0.003)
Mn (0.833, 0.311, 0.497)
Sn (0.210, 0.328, 0.738)
Sn (0.328, 0.210, 0.238)
Sn (0.672, 0.790, 0.762)
Sn (0.790, 0.672, 0.262)
Cl (0.042, 0.932, 0.099)
Cl (0.068, 0.958, 0.401)
Cl (0.182, 0.380, 0.582)
Cl (0.312, 0.447, 0.916)
Cl (0.380, 0.182, 0.082)
Cl (0.447, 0.312, 0.416)
Cl (0.450, 0.550, 0.250)
Cl (0.550, 0.450, 0.750)
Cl (0.553, 0.688, 0.584)
Cl (0.620, 0.818, 0.918)
Cl (0.688, 0.553, 0.084)
Cl (0.818, 0.620, 0.418)
Cl (0.932, 0.042, 0.599)
Cl (0.958, 0.068, 0.901)